Computed, not measured: a geometry-optimized Cr2InRu2 structure at the PBE level of DFT.

Values from the calculation:
- uncorrected energy (eV/cell) = -78.8

Cell: 7.322 7.322 2.767 Å, 90.00 90.00 90.00°
Atoms (fractional coordinates):
Cr 0.158 0.342 0.000
Cr 0.342 0.842 0.000
Cr 0.658 0.158 0.000
Cr 0.842 0.658 0.000
In 0.000 0.000 0.500
In 0.500 0.500 0.500
Ru 0.130 0.630 0.500
Ru 0.370 0.130 0.500
Ru 0.630 0.870 0.500
Ru 0.870 0.370 0.500

***

Computed, not measured: a geometry-optimized Ba6TlGa2 structure at the PBE level of DFT.

Values from the calculation:
- uncorrected energy (eV/cell) = -44.3

Cell: 10.184 10.184 10.184 Å, 112.43 109.66 106.38°
Atoms (fractional coordinates):
Ba 0.062 0.248 0.814
Ba 0.177 0.271 0.448
Ba 0.177 0.729 0.906
Ba 0.335 0.015 0.681
Ba 0.335 0.654 0.319
Ba 0.435 0.248 0.186
Ba 0.565 0.752 0.814
Ba 0.665 0.346 0.681
Ba 0.665 0.985 0.319
Ba 0.823 0.271 0.094
Ba 0.823 0.729 0.552
Ba 0.938 0.752 0.186
Tl 0.000 0.000 0.000
Tl 0.500 0.500 0.000
Ga 0.104 0.604 0.500
Ga 0.331 0.000 0.331
Ga 0.669 0.000 0.669
Ga 0.896 0.396 0.500

***

Computed, not measured: a geometry-optimized TlPd2N2 structure at the PBE level of DFT.

Values from the calculation:
- uncorrected formation energy (eV per atom) = 1.036

Cell: 7.860 7.860 3.351 Å, 90.00 90.00 90.00°
Atoms (fractional coordinates):
Tl 0.000 0.000 0.000
Tl 0.500 0.500 0.000
Pd 0.117 0.383 0.500
Pd 0.383 0.883 0.500
Pd 0.617 0.117 0.500
Pd 0.883 0.617 0.500
N 0.194 0.306 0.000
N 0.306 0.806 0.000
N 0.694 0.194 0.000
N 0.806 0.694 0.000

***

Computed, not measured: a geometry-optimized Dy3Sc2 structure at the PBE level of DFT.

Values from the calculation:
- uncorrected energy (eV/cell) = -52.6

Cell: 8.615 6.457 9.789 Å, 59.95 40.45 79.60°
Atoms (fractional coordinates):
Dy 0.000 0.000 0.000
Dy 0.193 0.510 0.902
Dy 0.250 0.250 0.250
Dy 0.348 0.855 0.057
Dy 0.510 0.193 0.395
Dy 0.855 0.348 0.740
Sc 0.414 0.720 0.382
Sc 0.720 0.414 0.484
Sc 0.766 0.868 0.530
Sc 0.868 0.766 0.836

***

Computed, not measured: a geometry-optimized Eu2SbPt structure at the PBE level of DFT.

Values from the calculation:
- uncorrected formation energy (eV per atom) = -0.895

Cell: 3.619 3.619 8.096 Å, 90.00 90.00 90.00°
Atoms (fractional coordinates):
Eu 0.000 0.000 0.220
Eu 0.000 0.000 0.780
Sb 0.500 0.500 0.500
Pt 0.500 0.500 0.000

***

Computed, not measured: a geometry-optimized Pu4InIr2 structure at the PBE level of DFT.

Values from the calculation:
- uncorrected energy (eV/cell) = -79.2

Cell: 7.783 7.783 7.783 Å, 36.68 36.68 36.68°
Atoms (fractional coordinates):
Pu 0.071 0.071 0.071
Pu 0.239 0.239 0.239
Pu 0.761 0.761 0.761
Pu 0.929 0.929 0.929
In 0.500 0.500 0.500
Ir 0.367 0.367 0.367
Ir 0.633 0.633 0.633

***

| no. | calculated volume (Å³/atom) |
| --- | --- |
| 1 | 14.834 |
| 2 | 45.052 |
| 3 | 20.706 |
| 4 | 28.563 |
| 5 | 26.506 |
| 6 | 21.524 |